## CaNiS2O8 (GGA+U)

Data for CaNiS2O8 after structural relaxation.

```
CaNiS2O8
1.0
-3.545 0.300 -3.273
1.426 -0.792 -4.551
-1.378 -6.932 0.564
Ca Ni S O
1 1 2 8
Cartesian
-0.689 -3.466 0.282
0.000 0.000 0.000
-1.671 -1.886 -4.886
-1.827 -5.539 -2.374
-3.226 -5.377 -2.919
-1.687 -0.808 -5.873
-2.094 -3.203 -5.408
-1.404 -4.222 -1.852
-1.811 -6.616 -1.387
-0.904 -5.888 -3.516
-2.594 -1.537 -3.744
-0.272 -2.047 -4.341
```

The total energy comes out at -6.127 eV per atom. Its mass density is 3.20 g cm⁻³.